Entry 1:
Density functional theory data (PBE-GGA) for a relaxed structure of SrB4Ru4.

Computed properties:
E_form: -0.329 eV per atom
SG: P4_2/n, No. 86
Fermi-level density of states: 7.2 states/eV/f.u.
Crystal system: tetragonal

Unit cell a=4.032 b=7.588 c=7.588 alpha=90.00 beta=90.00 gamma=90.00
Positions (direct):
Sr 0.000 0.000 0.000
Sr 0.500 0.500 0.500
B 0.610 0.832 0.291
B 0.610 0.168 0.709
B 0.110 0.791 0.668
B 0.890 0.332 0.791
B 0.890 0.668 0.209
B 0.390 0.291 0.168
B 0.390 0.709 0.832
B 0.110 0.209 0.332
Ru 0.389 0.355 0.891
Ru 0.889 0.609 0.855
Ru 0.389 0.645 0.109
Ru 0.111 0.145 0.609
Ru 0.611 0.891 0.645
Ru 0.111 0.855 0.391
Ru 0.889 0.391 0.145
Ru 0.611 0.109 0.355



Entry 2:
Density functional theory data (PBE-GGA) for a relaxed structure of La7Er2Mg2.

Computed properties:
E_form: 0.105 eV per atom
SG: C2/m, No. 12
Fermi-level density of states: 13.3 states/eV/f.u.
Crystal system: monoclinic

Unit cell a=5.969 b=8.199 c=8.199 alpha=85.18 beta=74.07 gamma=74.07
Positions (direct):
La 0.192 0.015 0.596
La 0.808 0.404 0.985
La 0.808 0.985 0.404
La 0.192 0.596 0.015
La 0.000 0.000 0.000
La 0.661 0.765 0.765
La 0.339 0.235 0.235
Er 0.500 0.221 0.779
Er 0.500 0.779 0.221
Mg 0.778 0.442 0.442
Mg 0.222 0.558 0.558



Entry 3:
Density functional theory data (PBE-GGA) for a relaxed structure of YLuPuIn.

Computed properties:
E_form: -0.050 eV per atom
SG: F-43m, No. 216
Fermi-level density of states: 8.1 states/eV/f.u.
Crystal system: cubic

Unit cell a=5.396 b=5.396 c=5.396 alpha=60.00 beta=60.00 gamma=60.00
Positions (direct):
Y 0.750 0.750 0.750
Lu 0.500 0.500 0.500
In 0.000 0.000 0.000
Pu 0.250 0.250 0.250



Entry 4:
Density functional theory data (PBE-GGA) for a relaxed structure of GdInGaPd.

Computed properties:
E_form: -0.596 eV per atom
SG: F-43m, No. 216
Fermi-level density of states: 2.7 states/eV/f.u.
Crystal system: cubic

Unit cell a=4.890 b=4.890 c=4.890 alpha=60.00 beta=60.00 gamma=60.00
Positions (direct):
Gd 0.000 0.000 0.000
Ga 0.750 0.750 0.750
Pd 0.250 0.250 0.250
In 0.500 0.500 0.500



Entry 5:
Density functional theory data (PBE-GGA) for a relaxed structure of SiTeSeI2.

Computed properties:
SG: P4/mmm, No. 123
Fermi-level density of states: 5.6 states/eV/f.u.
Crystal system: tetragonal
Uncorrected formation energy: 0.782 eV per atom

Unit cell a=5.612 b=5.612 c=5.654 alpha=90.00 beta=90.00 gamma=90.00
Positions (direct):
I 0.000 0.500 0.000
I 0.500 0.000 0.000
Si 0.500 0.500 0.500
Te 0.000 0.000 0.500
Se 0.000 0.000 0.000



Entry 6:
Density functional theory data (PBE-GGA) for a relaxed structure of AlSe.

Computed properties:
SG: R-3m, No. 166
Fermi-level density of states: 0.5 states/eV/f.u.
Crystal system: trigonal
Uncorrected formation energy: -0.555 eV per atom

Unit cell a=8.667 b=8.667 c=8.667 alpha=24.40 beta=24.40 gamma=24.40
Positions (direct):
Al 0.122 0.122 0.122
Al 0.878 0.878 0.878
Se 0.405 0.405 0.405
Se 0.595 0.595 0.595



Entry 7:
Density functional theory data (PBE-GGA) for a relaxed structure of ThTl2I2Cl4.

Computed properties:
SG: C2/m, No. 12
Fermi-level density of states: 0.0 states/eV/f.u.
Crystal system: monoclinic
Uncorrected formation energy: -1.451 eV per atom

Unit cell a=8.089 b=7.862 c=7.862 alpha=55.81 beta=76.87 gamma=76.87
Positions (direct):
Th 0.500 0.000 0.000
Tl 0.286 0.728 0.728
Tl 0.714 0.272 0.272
I 0.165 0.171 0.171
I 0.835 0.829 0.829
Cl 0.375 0.647 0.149
Cl 0.625 0.851 0.353
Cl 0.625 0.353 0.851
Cl 0.375 0.149 0.647



Entry 8:
Density functional theory data (PBE-GGA) for a relaxed structure of Na2InAgBr6.

Computed properties:
SG: P1, No. 1
Crystal system: triclinic
Uncorrected formation energy: -0.999 eV per atom

Unit cell a=7.326 b=7.344 c=7.719 alpha=61.40 beta=61.63 gamma=59.92
Positions (direct):
Na 0.525 0.524 0.425
Na 0.016 0.015 0.953
In 0.324 0.325 0.026
Ag 0.813 0.815 0.559
Br 0.580 0.204 0.256
Br 0.204 0.961 0.255
Br 0.962 0.578 0.255
Br 0.432 0.700 0.761
Br 0.699 0.106 0.763
Br 0.105 0.433 0.761